[1]
Density functional theory data (PBE-GGA) for crystalline Nd5Ta2O12 at its relaxed geometry.

Cell lengths 7.1066, 7.1066, 7.7188 Å; angles 105.71, 105.71, 50.45 degrees
Closest atoms and distances in Å follow each position.
Fractional positions:
Nd 0.0000 0.0000 0.0000  6 O 2.42-2.43
Nd 0.3044 0.3044 0.1390  7 O 2.38-2.52
Nd 0.3073 0.3073 0.6703  7 O 2.40-2.54
Nd 0.6927 0.6927 0.3297  7 O 2.40-2.54
Nd 0.6956 0.6956 0.8610  7 O 2.38-2.52
Ta 0.2397 0.7603 0.5000  6 O 1.97-2.12
Ta 0.7603 0.2397 0.5000  6 O 1.97-2.12
O 0.0006 0.0006 0.6868  2 Ta 2.04
O 0.0949 0.5947 0.9230  4 Nd 2.38-2.43
O 0.1024 0.5765 0.4197  1 Ta 1.97
O 0.4053 0.9051 0.0770  4 Nd 2.38-2.43
O 0.4235 0.8976 0.5803  1 Ta 1.97
O 0.4989 0.4989 0.6828  2 Ta 2.12
O 0.5011 0.5011 0.3172  2 Ta 2.12
O 0.5765 0.1024 0.4197  1 Ta 1.97
O 0.5947 0.0949 0.9230  4 Nd 2.38-2.43
O 0.8976 0.4235 0.5803  1 Ta 1.97
O 0.9051 0.4053 0.0770  4 Nd 2.38-2.43
O 0.9994 0.9994 0.3132  2 Ta 2.04

## Properties
crystal system = monoclinic
uncorrected energy = -0.653 Ry/atom
density = 7.4 Mg/m³
spin magnetization = 0.00 μB per formula unit
Fermi-level density of states = 2.7 states/eV per cell
E_form (uncorrected) = -313.2 kJ per mole of atoms

[2]
Density functional theory data (PBE-GGA) for crystalline Nd2TaO5 at its relaxed geometry.

Cell lengths 7.6737, 3.7810, 16.5617 Å; angles 90.00, 90.00, 90.00 degrees
Closest atoms and distances in Å follow each position.
Fractional positions:
Nd 0.0989 0.2500 0.2401  6 O 2.35-2.46
Nd 0.1391 0.2500 0.5814  6 O 2.37-2.51
Nd 0.3609 0.7500 0.0814  6 O 2.37-2.51
Nd 0.4011 0.7500 0.7401  6 O 2.35-2.46
Nd 0.5989 0.2500 0.2599  6 O 2.35-2.46
Nd 0.6391 0.2500 0.9186  6 O 2.37-2.51
Nd 0.8609 0.7500 0.4186  6 O 2.37-2.51
Nd 0.9011 0.7500 0.7599  6 O 2.35-2.46
Ta 0.1656 0.2500 0.9079  5 O 1.91-2.04
Ta 0.3344 0.7500 0.4079  5 O 1.91-2.04
Ta 0.6656 0.2500 0.5921  5 O 1.91-2.04
Ta 0.8344 0.7500 0.0921  5 O 1.91-2.04
O 0.0660 0.7500 0.1465  1 Ta 1.99
O 0.1250 0.7500 0.9502  2 Ta 2.04
O 0.1370 0.7500 0.6678  4 Nd 2.35-2.37
O 0.1451 0.7500 0.4911  1 Ta 2.00
O 0.1500 0.7500 0.3303  1 Ta 1.91
O 0.3500 0.2500 0.8303  1 Ta 1.91
O 0.3549 0.2500 0.9911  1 Ta 2.00
O 0.3630 0.2500 0.1678  4 Nd 2.35-2.37
O 0.3750 0.2500 0.4502  2 Ta 2.04
O 0.4340 0.2500 0.6465  1 Ta 1.99
O 0.5660 0.7500 0.3535  1 Ta 1.99
O 0.6250 0.7500 0.5498  2 Ta 2.04
O 0.6370 0.7500 0.8322  4 Nd 2.35-2.37
O 0.6451 0.7500 0.0089  1 Ta 2.00
O 0.6500 0.7500 0.1697  1 Ta 1.91
O 0.8500 0.2500 0.6697  1 Ta 1.91
O 0.8549 0.2500 0.5089  1 Ta 2.00
O 0.8630 0.2500 0.3322  4 Nd 2.35-2.37
O 0.8750 0.2500 0.0498  2 Ta 2.04
O 0.9340 0.2500 0.8535  1 Ta 1.99

## Properties
crystal system = orthorhombic
uncorrected energy = -0.650 Ry/atom
density = 7.6 Mg/m³
spin magnetization = 0.00 μB per formula unit
Fermi-level density of states = 6.8 states/eV per cell
E_form (uncorrected) = -296.0 kJ per mole of atoms